w:
# SiSe2Br, PBEsol geometry, DFT meta-GGA SCAN
data_SiSe2Br
_space_group_name_H-M_alt 'P 1'
_space_group_IT_number 1
_space_group_name_Hall 'P 1'
_cell_length_a 4.7780
_cell_length_b 4.7780
_cell_length_c 4.7780
_cell_angle_alpha 60.00
_cell_angle_beta 60.00
_cell_angle_gamma 60.00
loop_
_atom_site_label
_atom_site_type_symbol
_atom_site_fract_x
_atom_site_fract_y
_atom_site_fract_z
Si1 Si 0.0000 0.0000 0.0000
Se1 Se 0.2500 0.2500 0.2500
Se2 Se 0.7500 0.7500 0.7500
Br1 Br 0.5000 0.5000 0.5000
# Volume in Å³/cell: 77.1
# Space group: Fm-3m, No. 225

x:
# SiSe2Br, PBEsol geometry, DFT meta-GGA SCAN
data_SiSe2Br
_space_group_name_H-M_alt 'P 1'
_space_group_IT_number 1
_space_group_name_Hall 'P 1'
_cell_length_a 6.4448
_cell_length_b 6.4448
_cell_length_c 6.4448
_cell_angle_alpha 145.42
_cell_angle_beta 145.42
_cell_angle_gamma 49.71
loop_
_atom_site_label
_atom_site_type_symbol
_atom_site_fract_x
_atom_site_fract_y
_atom_site_fract_z
Si1 Si 0.0000 0.0000 0.0000
Se1 Se 0.2500 0.7500 0.5000
Se2 Se 0.7500 0.2500 0.5000
Br1 Br 0.5000 0.5000 0.0000
# Volume in Å³/cell: 85.8
# Space group: I4/mmm, No. 139

Which structure is the most stable? The one labeled x.

w:
# La2TlAg, PBEsol geometry, DFT meta-GGA SCAN
data_La2TlAg
_space_group_name_H-M_alt 'P 1'
_space_group_IT_number 1
_space_group_name_Hall 'P 1'
_cell_length_a 9.7271
_cell_length_b 9.7271
_cell_length_c 9.7271
_cell_angle_alpha 22.66
_cell_angle_beta 22.66
_cell_angle_gamma 22.66
loop_
_atom_site_label
_atom_site_type_symbol
_atom_site_fract_x
_atom_site_fract_y
_atom_site_fract_z
La1 La 0.2454 0.2454 0.2454
La2 La 0.7546 0.7546 0.7546
Tl1 Tl 0.0000 0.0000 0.0000
Ag1 Ag 0.5000 0.5000 0.5000
# Volume in Å³/cell: 119.9
# Space group: R-3m, No. 166

x:
# La2TlAg, PBEsol geometry, DFT meta-GGA SCAN
data_La2TlAg
_space_group_name_H-M_alt 'P 1'
_space_group_IT_number 1
_space_group_name_Hall 'P 1'
_cell_length_a 6.3678
_cell_length_b 6.3678
_cell_length_c 6.3678
_cell_angle_alpha 144.60
_cell_angle_beta 132.39
_cell_angle_gamma 60.70
loop_
_atom_site_label
_atom_site_type_symbol
_atom_site_fract_x
_atom_site_fract_y
_atom_site_fract_z
La1 La 0.0000 0.0000 0.0000
La2 La 0.7201 0.2201 0.5000
Tl1 Tl 0.2810 0.7810 0.5000
Ag1 Ag 0.4785 0.4785 0.0000
# Volume in Å³/cell: 109.4
# Space group: Imm2, No. 44

Which structure is the most stable? The one labeled x.